Computed, not measured: a relaxed structure of LiHoGa at the GGA-PBE level of DFT.

The value obtained for the theoretical density is 6.050 g/cm3. The value obtained for the excess energy over the best structure of this formula in the dataset is 87 meV per atom. As for the spin magnetization: 0.00 Bohr magnetons per cell.

abc: 3.5234 4.4400 8.4772
angles: 90.00 90.00 90.00
Fractional coordinates of all 6 atoms:
Ga  0.8116  0.2163  0.9869
Ga  0.8116  0.7163  0.8059
Li  0.8116  0.7161  0.4827
Li  0.8115  0.2161  0.3102
Ho  0.3117  0.2161  0.6850
Ho  0.3117  0.7162  0.1078